(w)
The following is a PBE calculation of a relaxed structure of PrPuTl2, from Alexandria.

Lattice parameters (Å, degrees): 5.0477 5.0477 4.5419 90.00 90.00 90.00
With the nearest neighbours (Å) after each atom.
Positions (direct):
Pr 0.0000 0.0000 0.0000  8 Tl 3.40, 4 Pu 3.57
Pu 0.5000 0.5000 0.0000  8 Tl 3.40, 4 Pr 3.57
Tl 0.0000 0.5000 0.5000  4 Pr 3.40, 4 Pu 3.40, 4 Tl 3.57
Tl 0.5000 0.0000 0.5000  4 Pr 3.40, 4 Pu 3.40, 4 Tl 3.57



(x)
The following is a PBE calculation of a relaxed structure of PrPuTl2, from Alexandria.

Lattice parameters (Å, degrees): 3.4657 3.4657 9.4863 90.00 90.00 90.00
With the nearest neighbours (Å) after each atom.
Positions (direct):
Pr 0.0000 0.0000 0.0000  8 Tl 3.44, 4 Pr 3.47
Pu 0.0000 0.0000 0.5000  8 Tl 3.38, 4 Pu 3.47
Tl 0.5000 0.5000 0.2545  4 Pu 3.38, 4 Pr 3.44, 4 Tl 3.47
Tl 0.5000 0.5000 0.7455  4 Pu 3.38, 4 Pr 3.44, 4 Tl 3.47



Relative energies with respect to the most stable structure, expressed in meV per atom: (w) 16; (x) 0.



(w)
The following is a PBE calculation of a relaxed structure of PrPu2Tl, from Alexandria.

Lattice parameters (Å, degrees): 4.2116 4.2116 6.6666 90.00 90.00 90.00
With the nearest neighbours (Å) after each atom.
Positions (direct):
Pr 0.0000 0.0000 0.0000  2 Tl 3.33, 8 Pu 3.48
Pu 0.5000 0.5000 0.2702  1 Pu 3.06, 4 Tl 3.35
Pu 0.5000 0.5000 0.7298  1 Pu 3.06, 4 Tl 3.35
Tl 0.0000 0.0000 0.5000  2 Pr 3.33, 8 Pu 3.35



(x)
The following is a PBE calculation of a relaxed structure of PrPu2Tl, from Alexandria.

Lattice parameters (Å, degrees): 4.6509 4.6509 5.2457 90.00 90.00 90.00
With the nearest neighbours (Å) after each atom.
Positions (direct):
Pr 0.0000 0.0000 0.0000  4 Tl 3.29, 8 Pu 3.51
Pu 0.0000 0.5000 0.5000  4 Pu 3.29, 4 Tl 3.51, 4 Pr 3.51
Pu 0.5000 0.0000 0.5000  4 Pu 3.29, 4 Tl 3.51, 4 Pr 3.51
Tl 0.5000 0.5000 0.0000  4 Pr 3.29, 8 Pu 3.51



Relative energies with respect to the most stable structure, expressed in meV per atom: (w) 145; (x) 0.



(w)
The following is a PBE calculation of a relaxed structure of PrYPu, from Alexandria.

Lattice parameters (Å, degrees): 10.3628 10.3628 6.8169 93.21 93.21 31.35
With the nearest neighbours (Å) after each atom.
Positions (direct):
Pr 0.1425 0.1425 0.1460  3 Pu 3.13-3.45, 1 Y 3.43
Pr 0.2084 0.2084 0.6372  3 Pu 3.40, 4 Pr 3.53-3.80
Pr 0.7916 0.7916 0.3628  3 Pu 3.40, 4 Pr 3.53-3.80
Pr 0.8575 0.8575 0.8540  3 Pu 3.13-3.45, 1 Y 3.43
Y 0.0220 0.0220 0.7347  2 Pu 3.14, 1 Y 3.27, 1 Pr 3.43
Y 0.4123 0.4123 0.5653  3 Pu 3.37-3.70, 2 Pr 3.63, 5 Y 3.66-3.75
Y 0.5877 0.5877 0.4347  3 Pu 3.37-3.70, 2 Pr 3.63, 5 Y 3.66-3.75
Y 0.9780 0.9780 0.2653  2 Pu 3.14, 1 Y 3.27, 1 Pr 3.43
Pu 0.2966 0.2966 0.0801  1 Pu 2.85, 1 Pr 3.13
Pu 0.4396 0.4396 0.0821  2 Pu 2.72-2.85
Pu 0.5604 0.5604 0.9179  2 Pu 2.72-2.85
Pu 0.7034 0.7034 0.9199  1 Pu 2.85, 1 Pr 3.13



(x)
The following is a PBE calculation of a relaxed structure of PrYPu, from Alexandria.

Lattice parameters (Å, degrees): 5.7340 5.7340 3.3360 90.00 90.00 120.00
With the nearest neighbours (Å) after each atom.
Positions (direct):
Pr 0.0000 0.0000 0.0000  3 Y 3.31, 2 Pr 3.34, 6 Pu 3.71
Y 0.6667 0.3333 0.0000  3 Pr 3.31, 2 Y 3.34, 6 Pu 3.71
Pu 0.3333 0.6667 0.5000  2 Pu 3.34, 6 Pr 3.71, 6 Y 3.71



(y)
The following is a PBE calculation of a relaxed structure of PrYPu, from Alexandria.

Lattice parameters (Å, degrees): 3.5719 3.5719 15.0780 90.00 90.00 90.00
With the nearest neighbours (Å) after each atom.
Positions (direct):
Pr 0.0000 0.0000 0.0000  4 Pu 3.55, 4 Pr 3.57, 4 Y 3.64
Pr 0.5000 0.5000 0.5000  4 Pu 3.55, 4 Pr 3.57, 4 Y 3.64
Y 0.0000 0.0000 0.6743  4 Pu 3.50, 4 Y 3.57, 4 Pr 3.64
Y 0.5000 0.5000 0.1743  4 Pu 3.50, 4 Y 3.57, 4 Pr 3.64
Pu 0.0000 0.0000 0.3350  4 Y 3.50, 4 Pr 3.55, 4 Pu 3.57
Pu 0.5000 0.5000 0.8350  4 Y 3.50, 4 Pr 3.55, 4 Pu 3.57



Relative energies with respect to the most stable structure, expressed in meV per atom: (w) 62; (x) 100; (y) 0.



(w)
The following is a PBE calculation of a relaxed structure of PrPuZn2, from Alexandria.

Lattice parameters (Å, degrees): 7.3039 7.3039 7.3039 90.00 90.00 90.00
With the nearest neighbours (Å) after each atom.
Positions (direct):
Pr 0.0000 0.0000 0.0000  8 Zn 3.16
Pr 0.0000 0.5000 0.5000  8 Zn 3.16
Pr 0.5000 0.0000 0.5000  8 Zn 3.16
Pr 0.5000 0.5000 0.0000  8 Zn 3.16
Pu 0.0000 0.0000 0.5000  8 Zn 3.16
Pu 0.0000 0.5000 0.0000  8 Zn 3.16
Pu 0.5000 0.0000 0.0000  8 Zn 3.16
Pu 0.5000 0.5000 0.5000  8 Zn 3.16
Zn 0.2500 0.2500 0.2500  4 Pu 3.16, 4 Pr 3.16
Zn 0.2500 0.2500 0.7500  4 Pr 3.16, 4 Pu 3.16
Zn 0.2500 0.7500 0.2500  4 Pr 3.16, 4 Pu 3.16
Zn 0.2500 0.7500 0.7500  4 Pr 3.16, 4 Pu 3.16
Zn 0.7500 0.2500 0.2500  4 Pr 3.16, 4 Pu 3.16
Zn 0.7500 0.2500 0.7500  4 Pr 3.16, 4 Pu 3.16
Zn 0.7500 0.7500 0.2500  4 Pr 3.16, 4 Pu 3.16
Zn 0.7500 0.7500 0.7500  4 Pr 3.16, 4 Pu 3.16



(x)
The following is a PBE calculation of a relaxed structure of PrPuZn2, from Alexandria.

Lattice parameters (Å, degrees): 5.1442 5.1442 3.6769 90.00 90.00 90.00
With the nearest neighbours (Å) after each atom.
Positions (direct):
Pr 0.0000 0.0000 0.0000  8 Zn 3.16
Pu 0.5000 0.5000 0.0000  8 Zn 3.16
Zn 0.0000 0.5000 0.5000  4 Pr 3.16, 4 Pu 3.16
Zn 0.5000 0.0000 0.5000  4 Pr 3.16, 4 Pu 3.16



Relative energies with respect to the most stable structure, expressed in meV per atom: (w) 21; (x) 0.